This record from Alexandria describes a relaxed Ac4InAg crystal. The functional is PBE.

a b c (Å): 6.0676 7.7806 9.5196
angles (deg): 90.00 98.69 90.00
Sites, in units of the cell vectors:
Ac (0.1505, 0.2500, 0.0536)
Ac (0.2018, 0.7500, 0.3721)
Ac (0.3234, 0.5144, 0.7264)
Ac (0.3234, 0.9856, 0.7264)
Ac (0.6766, 0.0144, 0.2736)
Ac (0.6766, 0.4856, 0.2736)
Ac (0.7982, 0.2500, 0.6279)
Ac (0.8495, 0.7500, 0.9464)
In (0.2320, 0.2500, 0.4177)
In (0.7680, 0.7500, 0.5823)
Ag (0.3628, 0.7500, 0.0487)
Ag (0.6372, 0.2500, 0.9513)

Space group: P2_1/m (11)
DOS(E_F), states/eV per cell: 15.2
Formation energy, eV per atom: -0.179
Magnetic moment, μB/cell: 0.0

---

This record from Alexandria describes a relaxed Ac3In4Ag4 crystal. The functional is PBE.

a b c (Å): 9.2473 9.2473 9.2473
angles (deg): 149.30 130.78 59.14
Sites, in units of the cell vectors:
Ac (0.0000, 0.0000, 0.0000)
Ac (0.3652, 0.8652, 0.5000)
Ac (0.6348, 0.1348, 0.5000)
In (0.2154, 0.2154, 0.0000)
In (0.3138, 0.5000, 0.8138)
In (0.6862, 0.5000, 0.1862)
In (0.7846, 0.7846, 0.0000)
Ag (0.0222, 0.3322, 0.6900)
Ag (0.3579, 0.6678, 0.6900)
Ag (0.6421, 0.3322, 0.3100)
Ag (0.9778, 0.6678, 0.3100)

Space group: Immm (71)
DOS(E_F), states/eV per cell: 14.0
Formation energy, eV per atom: -0.327
Magnetic moment, μB/cell: 0.0